An optimized crystal structure of InAgN3, computed with GGA-PBE.

The calculation puts the total moment at 4.82 μB/f.u. The formation energy (no corrections) comes out at 2.081 eV/atom.

It has space group Pm-3m (No. 221), with a = 4.2884 Å, b = 4.2884 Å, c = 4.2884 Å, α = 90.00°, β = 90.00° and γ = 90.00°. The distinct sites, in fractional coordinates, are In at (0.0000, 0.0000, 0.0000), Ag at (0.5000, 0.5000, 0.5000) and N at (0.0000, 0.0000, 0.5000).